1.
Compound: Ac2Si3Pt12Au
Source: Alexandria
Functional: PBE
Structure: relaxed

Structure (POSCAR):
```
Ac2Si3Pt12Au
1.0
7.8853 -0.2208 -0.1566
3.7022 6.9657 -0.1566
3.7022 2.1550 6.6258
Ac Si Pt Au
2 3 12 1
Direct
0.6136 0.6136 0.6136
0.3864 0.3864 0.3864
0.5000 0.0000 0.0000
0.0000 0.5000 0.0000
0.0000 0.0000 0.5000
0.3500 0.3500 0.8996
0.8725 0.8725 0.3846
0.3846 0.8725 0.8725
0.8996 0.3500 0.3500
0.8725 0.3846 0.8725
0.3500 0.8996 0.3500
0.6500 0.6500 0.1004
0.1275 0.1275 0.6154
0.6154 0.1275 0.1275
0.1004 0.6500 0.6500
0.1275 0.6154 0.1275
0.6500 0.1004 0.6500
0.0000 0.0000 0.0000
```

Summary:
calculated volume	20.8	Å³ per atom
raw total energy	-6.021	eV per atom
space group	R-3m

***

2.
Compound: AcSnPtAu
Source: Alexandria
Functional: PBE
Structure: relaxed

Structure (POSCAR):
```
AcSnPtAu
1.0
5.1756 0.0000 0.0000
2.5878 4.4822 0.0000
2.5878 1.4941 4.2259
Ac Au Sn Pt
1 1 1 1
Direct
0.0000 0.0000 0.0000
0.2500 0.2500 0.2500
0.5000 0.5000 0.5000
0.7500 0.7500 0.7500
```

Summary:
ΔH_f (0 K)	-685	meV/atom
calculated volume	24.5	Å³ per atom
space group	F-43m

***

3.
Compound: Ac2SnPt6Au
Source: Alexandria
Functional: PBE
Structure: relaxed

Structure (POSCAR):
```
Ac2SnPt6Au
1.0
6.9400 0.4576 1.2781
0.5211 6.7664 1.2803
4.7182 4.4310 6.4710
Ac Sn Pt Au
2 1 6 1
Direct
0.7645 0.2355 0.5412
0.2355 0.7645 0.4588
0.0000 0.0000 0.0000
0.2542 0.2577 0.5013
0.7422 0.7458 0.0133
0.2512 0.7486 0.8348
0.7488 0.2514 0.1652
0.2578 0.2542 0.9867
0.7458 0.7423 0.4987
0.5000 0.5000 0.0000
```

Summary:
ΔH_f (0 K)	-760	meV/atom
calculated volume	22.8	Å³ per atom
space group	C2/m

***

4.
Compound: Ac2Sn4PtAu3
Source: Alexandria
Functional: PBE
Structure: relaxed

Structure (POSCAR):
```
Ac2Sn4PtAu3
1.0
-0.0357 -1.1618 4.6285
4.5669 -1.3507 -0.3038
3.2504 10.3970 2.6348
Ac Sn Pt Au
2 4 1 3
Direct
0.5000 0.0000 0.2685
0.0000 0.5000 0.7315
0.5000 0.5000 0.0000
0.0000 0.0000 0.0000
0.5000 0.0000 0.6211
0.0000 0.5000 0.3789
0.5000 0.5000 0.5000
0.0000 0.0000 0.5000
0.5000 0.0000 0.8618
0.0000 0.5000 0.1382
```

Summary:
ΔH_f (0 K)	-686	meV/atom
calculated volume	25.5	Å³ per atom
space group	P-4m2

***

5.
Compound: AcSnPt3Au
Source: Alexandria
Functional: PBE
Structure: relaxed

Structure (POSCAR):
```
AcSnPt3Au
1.0
-1.4863 0.1392 -7.5068
-5.4805 -2.1213 1.0458
0.6360 6.7546 -0.0007
Ac Sn Pt Au
2 2 6 2
Direct
0.7500 0.3279 0.6557
0.2500 0.6721 0.3443
0.2500 0.3752 0.7504
0.7500 0.6248 0.2496
0.2500 0.1587 0.3175
0.0000 0.2670 0.0000
0.5000 0.7330 0.0000
0.5000 0.2670 0.0000
0.0000 0.7330 0.0000
0.7500 0.8413 0.6825
0.2500 0.9194 0.8389
0.7500 0.0806 0.1611
```

Summary:
ΔH_f (0 K)	-541	meV/atom
calculated volume	23.2	Å³ per atom
space group	Cmcm

***

6.
Compound: Ac2Sn3Pt4Au
Source: Alexandria
Functional: PBE
Structure: relaxed

Structure (POSCAR):
```
Ac2Sn3Pt4Au
1.0
-3.4142 -0.4444 -3.1362
1.4565 -4.3151 -0.9741
-6.5743 -3.9615 7.7184
Ac Sn Pt Au
2 3 4 1
Direct
0.5000 0.0000 0.2563
0.0000 0.5000 0.7437
0.0000 0.0000 0.5000
0.5000 0.0000 0.8768
0.0000 0.5000 0.1232
0.5000 0.5000 0.0000
0.0000 0.0000 0.0000
0.5000 0.0000 0.6366
0.0000 0.5000 0.3634
0.5000 0.5000 0.5000
```

Summary:
ΔH_f (0 K)	-837	meV/atom
calculated volume	23.6	Å³ per atom
space group	P-4m2

***

7.
Compound: AcSnPtAu2
Source: Alexandria
Functional: PBE
Structure: relaxed

Structure (POSCAR):
```
AcSnPtAu2
1.0
4.1565 0.0000 0.0000
0.0000 4.3601 0.0000
-2.0783 -2.1801 6.5838
Ac Sn Pt Au
1 1 1 2
Direct
0.4297 0.4297 0.8593
0.1945 0.6945 0.3890
0.8418 0.8418 0.6836
0.7000 0.2000 0.3999
0.0462 0.0462 0.0924
```

Summary:
ΔH_f (0 K)	-694	meV/atom
calculated volume	23.9	Å³ per atom
space group	Imm2

***

8.
Compound: SrAcPtAu
Source: Alexandria
Functional: PBE
Structure: relaxed

Structure (POSCAR):
```
SrAcPtAu
1.0
4.2289 0.0000 0.0000
0.0000 4.6020 0.0000
-2.1144 0.0000 5.9269
Sr Ac Pt Au
1 1 1 1
Direct
0.1406 0.0000 0.2812
0.8671 0.5000 0.7342
0.4104 0.0000 0.8207
0.5819 0.5000 0.1639
```

Summary:
ΔH_f (0 K)	-925	meV/atom
calculated volume	28.8	Å³ per atom
space group	Amm2

***

9.
Compound: SrAcPtAu
Source: Alexandria
Functional: PBE
Structure: relaxed

Structure (POSCAR):
```
SrAcPtAu
1.0
5.3737 0.0000 0.0000
2.6869 4.6538 0.0000
2.6869 1.5513 4.3876
Sr Ac Au Pt
1 1 1 1
Direct
0.2500 0.2500 0.2500
0.7500 0.7500 0.7500
0.5000 0.5000 0.5000
0.0000 0.0000 0.0000
```

Summary:
ΔH_f (0 K)	-829	meV/atom
calculated volume	27.4	Å³ per atom
space group	F-43m

***

10.
Compound: AcTbPtAu
Source: Alexandria
Functional: PBE
Structure: relaxed

Structure (POSCAR):
```
AcTbPtAu
1.0
5.2565 0.0000 0.0000
2.6282 4.5523 0.0000
2.6282 1.5174 4.2919
Tb Ac Au Pt
1 1 1 1
Direct
0.5000 0.5000 0.5000
0.0000 0.0000 0.0000
0.7500 0.7500 0.7500
0.2500 0.2500 0.2500
```

Summary:
ΔH_f (0 K)	-886	meV/atom
calculated volume	25.7	Å³ per atom
space group	F-43m

***

11.
Compound: Ac6TePt3Au2
Source: Alexandria
Functional: PBE
Structure: relaxed

Structure (POSCAR):
```
Ac6TePt3Au2
1.0
-0.2119 1.6069 4.1326
-8.9798 -2.2642 0.4198
5.2002 -8.7972 1.3032
Ac Te Pt Au
6 1 3 2
Direct
0.3243 0.9304 0.6486
0.6622 0.5937 0.3243
0.6757 0.0696 0.3514
0.9942 0.2720 0.9885
0.0058 0.7280 0.0115
0.3378 0.4063 0.6757
0.5000 0.0000 0.0000
0.5000 0.5000 0.0000
0.8338 0.1706 0.6675
0.1662 0.8294 0.3325
0.8337 0.6693 0.6674
0.1663 0.3307 0.3326
```

Summary:
calculated volume	33.1	Å³ per atom
raw total energy	-5.467	eV per atom
space group	C2/m

***

12.
Compound: AcTmPtAu
Source: Alexandria
Functional: PBE
Structure: relaxed

Structure (POSCAR):
```
AcTmPtAu
1.0
5.2226 0.0000 0.0000
2.6113 4.5229 0.0000
2.6113 1.5076 4.2642
Ac Tm Au Pt
1 1 1 1
Direct
0.7500 0.7500 0.7500
0.2500 0.2500 0.2500
0.0000 0.0000 0.0000
0.5000 0.5000 0.5000
```

Summary:
ΔH_f (0 K)	-893	meV/atom
calculated volume	25.2	Å³ per atom
space group	F-43m

***

13.
Compound: AcYPtAu
Source: Alexandria
Functional: PBE
Structure: relaxed

Structure (POSCAR):
```
AcYPtAu
1.0
-4.8070 0.4951 -2.0599
-3.5311 -3.8398 0.6190
-4.1439 0.7245 3.1462
Y Ac Au Pt
1 1 1 1
Direct
0.5000 0.5000 0.5000
0.0000 0.0000 0.0000
0.2500 0.2500 0.2500
0.7500 0.7500 0.7500
```

Summary:
ΔH_f (0 K)	-884	meV/atom
calculated volume	25.6	Å³ per atom
space group	F-43m

***

14.
Compound: Ac2Zn3Pt4Au
Source: Alexandria
Functional: PBE
Structure: relaxed

Structure (POSCAR):
```
Ac2Zn3Pt4Au
1.0
4.2985 0.0000 0.0000
0.0000 4.2985 0.0000
0.0000 0.0000 11.2764
Ac Zn Pt Au
2 3 4 1
Direct
0.5000 0.0000 0.2447
0.0000 0.5000 0.7553
0.0000 0.0000 0.5000
0.5000 0.0000 0.8770
0.0000 0.5000 0.1230
0.5000 0.5000 0.0000
0.0000 0.0000 0.0000
0.5000 0.0000 0.6536
0.0000 0.5000 0.3464
0.5000 0.5000 0.5000
```

Summary:
ΔH_f (0 K)	-768	meV/atom
calculated volume	20.8	Å³ per atom
space group	P-4m2

***

15.
Compound: AcZnPtAu
Source: Alexandria
Functional: PBE
Structure: relaxed

Structure (POSCAR):
```
AcZnPtAu
1.0
-4.2480 2.7626 0.3563
-4.4919 -2.0928 -1.1169
-3.3476 -0.9543 3.6996
Ac Au Zn Pt
1 1 1 1
Direct
0.2500 0.2500 0.2500
0.0000 0.0000 0.0000
0.7500 0.7500 0.7500
0.5000 0.5000 0.5000
```

Summary:
ΔH_f (0 K)	-576	meV/atom
calculated volume	23.2	Å³ per atom
space group	F-43m

***

16.
Compound: Ac2Zn4PtAu3
Source: Alexandria
Functional: PBE
Structure: relaxed

Structure (POSCAR):
```
Ac2Zn4PtAu3
1.0
4.6190 0.0000 0.0000
0.0000 4.6190 0.0000
0.0000 0.0000 10.2328
Ac Zn Pt Au
2 4 1 3
Direct
0.5000 0.0000 0.2586
0.0000 0.5000 0.7414
0.5000 0.5000 0.0000
0.0000 0.0000 0.0000
0.5000 0.0000 0.6181
0.0000 0.5000 0.3819
0.5000 0.5000 0.5000
0.0000 0.0000 0.5000
0.5000 0.0000 0.8713
0.0000 0.5000 0.1287
```

Summary:
ΔH_f (0 K)	-608	meV/atom
calculated volume	21.8	Å³ per atom
space group	P-4m2

***

17.
Compound: Ac2Zn3PtAu12
Source: Alexandria
Functional: PBE
Structure: relaxed

Structure (POSCAR):
```
Ac2Zn3PtAu12
1.0
-10.3487 -0.5284 2.1733
-6.8908 -4.2987 6.7924
-7.1105 2.5623 7.4144
Ac Zn Pt Au
2 3 1 12
Direct
0.6432 0.6432 0.6432
0.3568 0.3568 0.3568
0.5000 0.0000 0.0000
0.0000 0.5000 0.0000
0.0000 0.0000 0.5000
0.0000 0.0000 0.0000
0.4083 0.4083 0.8167
0.8973 0.8973 0.3917
0.3917 0.8973 0.8973
0.8167 0.4083 0.4083
0.8973 0.3917 0.8973
0.4083 0.8167 0.4083
0.5917 0.5917 0.1833
0.1027 0.1027 0.6083
0.6083 0.1027 0.1027
0.1833 0.5917 0.5917
0.1027 0.6083 0.1027
0.5917 0.1833 0.5917
```

Summary:
ΔH_f (0 K)	-235	meV/atom
calculated volume	22.4	Å³ per atom
space group	R-3m

***

18.
Compound: AcZn2PtAu
Source: Alexandria
Functional: PBE
Structure: relaxed

Structure (POSCAR):
```
AcZn2PtAu
1.0
4.3732 0.0000 0.0000
0.0000 4.2702 0.0010
-2.1866 -2.1336 5.7491
Ac Zn Pt Au
1 2 1 1
Direct
0.4329 0.4332 0.8657
0.6941 0.1936 0.3883
0.0594 0.0598 0.1189
0.8406 0.8403 0.6813
0.1850 0.6853 0.3701
```

Summary:
ΔH_f (0 K)	-627	meV/atom
calculated volume	21.5	Å³ per atom
space group	Imm2

***

19.
Compound: AcZnPtAu
Source: Alexandria
Functional: PBE
Structure: relaxed

Structure (POSCAR):
```
AcZnPtAu
1.0
-0.6315 0.0970 4.4878
4.1762 -0.4857 -1.6912
-1.9864 5.4671 -0.3977
Ac Zn Pt Au
1 1 1 1
Direct
0.6210 0.2420 0.5053
0.1057 0.2115 0.9593
0.4088 0.8177 0.8685
0.8307 0.6614 0.1342
```

Summary:
ΔH_f (0 K)	-788	meV/atom
calculated volume	23.2	Å³ per atom
space group	R3m

***

20.
Compound: Ac2ZnPtAu
Source: Alexandria
Functional: PBE
Structure: relaxed

Structure (POSCAR):
```
Ac2ZnPtAu
1.0
-2.3775 0.3348 3.8954
5.4636 -1.9424 3.5016
2.0397 8.8957 0.4804
Ac Zn Pt Au
4 2 2 2
Direct
0.7500 0.8379 0.6483
0.7500 0.7585 0.0845
0.2500 0.1621 0.3517
0.2500 0.2415 0.9155
0.2500 0.4950 0.6269
0.7500 0.5050 0.3731
0.2500 0.7605 0.8597
0.7500 0.2395 0.1403
0.2500 0.7007 0.3708
0.7500 0.2993 0.6292
```

Summary:
ΔH_f (0 K)	-782	meV/atom
calculated volume	28.3	Å³ per atom
space group	P2_1/m